No. 1
! meta-GGA SCAN Ba6Na2Ta2V2O17, PBEsol geometry; values from VASP
&SYSTEM
  ibrav = 0, nat = 58, ntyp = 5
/
ATOMIC_SPECIES
O 16.00 O.upf
Ba 137.33 Ba.upf
Ta 180.95 Ta.upf
Na 22.99 Na.upf
V 50.94 V.upf
ATOMIC_POSITIONS angstrom
O -1.409 4.213 24.969
O 1.535 0.886 9.934
O 0.000 1.787 2.155
O -1.396 4.206 2.155
O 0.000 3.399 15.178
O -1.396 4.206 12.880
O -1.409 4.213 20.134
O 1.409 4.213 20.134
O 0.000 1.787 12.880
O 4.288 2.476 7.517
O 1.600 2.476 7.517
O 0.000 4.952 22.552
O 2.944 1.700 0.144
O 1.548 0.894 17.189
O -1.344 2.623 22.552
O 1.548 0.894 27.914
O 1.409 4.213 24.969
O 4.353 0.886 5.100
O 4.353 0.886 9.934
O 2.944 3.327 5.100
O 2.944 1.700 14.890
O 4.340 0.894 27.914
O 1.396 4.206 12.880
O 1.344 2.623 22.552
O 2.944 3.312 17.189
O 2.944 3.327 9.934
O 0.000 3.399 29.925
O 0.000 1.772 24.969
O 1.396 4.206 2.155
O 4.340 0.894 17.189
O 0.000 1.772 20.134
O 2.944 3.312 27.914
O 1.535 0.886 5.100
O 2.944 0.148 7.517
Ba 0.000 0.000 7.517
Ba 2.944 1.700 2.717
Ba 2.944 1.700 20.465
Ba 0.000 3.399 27.351
Ba 2.944 1.700 12.317
Ba 0.000 3.399 9.604
Ba 2.944 1.700 24.638
Ba 0.000 0.000 15.034
Ba 0.000 3.399 17.752
Ba 0.000 0.000 0.000
Ba 0.000 3.399 5.431
Ba 0.000 0.000 22.552
Ta 2.944 1.700 8.973
Ta 0.000 3.399 24.008
Ta 0.000 3.399 21.096
Ta 2.944 1.700 6.061
Na 0.000 0.000 18.750
Na 0.000 0.000 26.354
Na 0.000 0.000 11.319
Na 0.000 0.000 3.715
V 2.944 1.700 28.514
V 2.944 1.700 16.589
V 0.000 3.399 13.479
V 0.000 3.399 1.555
CELL_PARAMETERS angstrom
5.888 0.000 0.000
-2.944 5.099 0.000
0.000 0.000 30.069
! crystal system = hexagonal
! uncorrected formation energy = -3.06 eV/atom

=====

No. 2
! meta-GGA SCAN Ba4Na2W2O11, PBEsol geometry; values from VASP
&SYSTEM
  ibrav = 0, nat = 19, ntyp = 4
/
ATOMIC_SPECIES
O 16.00 O.upf
Ba 137.33 Ba.upf
Na 22.99 Na.upf
W 183.84 W.upf
ATOMIC_POSITIONS angstrom
O -5.301 6.246 -2.203
O -4.302 1.316 0.745
O -6.730 3.277 1.654
O -2.347 3.877 1.172
O -4.827 5.912 1.691
O -4.834 3.990 -0.760
O -4.234 3.150 3.653
O -5.823 -0.629 -0.172
O -4.866 2.434 -2.988
O -3.836 -0.898 2.235
O -2.552 -0.182 -0.532
Ba -6.662 1.830 -0.720
Ba -2.953 6.077 -0.415
Ba -7.082 5.513 0.038
Ba -2.533 2.395 -1.173
Na -3.542 -1.309 4.395
Na -4.536 3.573 1.432
W -4.076 -0.562 0.468
W -5.085 4.342 -2.608
CELL_PARAMETERS angstrom
-4.634 0.219 -3.634
-3.524 -1.335 4.531
-0.949 8.311 1.711
! crystal system = orthorhombic
! uncorrected formation energy = -2.74 eV/atom

=====

No. 3
! meta-GGA SCAN Ba2NaP2, PBEsol geometry; values from VASP
&SYSTEM
  ibrav = 0, nat = 5, ntyp = 3
/
ATOMIC_SPECIES
P 30.97 P.upf
Na 22.99 Na.upf
Ba 137.33 Ba.upf
ATOMIC_POSITIONS angstrom
P 3.038 2.640 1.889
P 0.000 6.137 3.203
Na 0.000 0.000 0.000
Ba 3.038 5.234 3.808
Ba 0.000 3.543 1.284
CELL_PARAMETERS angstrom
6.077 0.000 0.000
-3.038 5.394 0.043
0.000 3.383 5.048
! crystal system = tetragonal
! E_form = -0.4977 eV per atom

=====

No. 4
! meta-GGA SCAN BaNaP, PBEsol geometry; values from VASP
&SYSTEM
  ibrav = 0, nat = 9, ntyp = 3
/
ATOMIC_SPECIES
P 30.97 P.upf
Ba 137.33 Ba.upf
Na 22.99 Na.upf
ATOMIC_POSITIONS angstrom
P -1.556 1.060 1.353
P 3.365 1.539 2.662
P 1.406 -2.478 3.558
Ba 0.410 0.673 3.916
Ba -1.881 -2.759 3.972
Ba 1.574 4.327 2.392
Na 1.291 1.347 0.428
Na -0.134 -1.575 1.080
Na 3.614 -0.711 4.712
CELL_PARAMETERS angstrom
-3.111 2.120 2.706
-0.553 -6.495 4.454
5.323 5.556 1.766
! crystal system = hexagonal
! E_form = -0.9369 eV per atom

=====

Across the entries above, calculated volume takes the values 15.57; 15.60; 32.92; 27.81 A^3/atom, respectively.